# 1
Below is a relaxed structure of RbAc2AgF8, with properties calculated at the GGA-PBE level.

## Properties
N(E_F) in states/eV/cell: 0.000
Total magnetic moment in Bohr magnetons per cell: 0.1
Formation energy (no corrections) in meV/atom: -3418
Space group: No. 10

Unit cell a=6.311 b=4.271 c=8.467 alpha=90.00 beta=92.66 gamma=90.00
Atoms (fractional coordinates):
Rb: 0.000 0.000 0.000
Ac: 0.486 0.500 0.745
Ac: 0.514 0.500 0.255
Ag: 0.000 0.000 0.500
F: 0.255 0.000 0.729
F: 0.275 0.500 0.487
F: 0.288 0.500 0.996
F: 0.309 0.000 0.250
F: 0.691 0.000 0.750
F: 0.712 0.500 0.004
F: 0.725 0.500 0.513
F: 0.745 0.000 0.271

=====

# 2
Below is a relaxed structure of La3CuGe, with properties calculated at the GGA-PBE level.

## Properties
N(E_F) in states/eV/cell: 7.565
Total magnetic moment in Bohr magnetons per cell: 0.0
Polymorph energy (0 for the lowest one) in eV/f.u.: 2.084
Energy of formation from the pure elements in eV/atom: 0.027
Space group: No. 221

Unit cell a=5.474 b=5.474 c=5.474 alpha=90.00 beta=90.00 gamma=90.00
Atoms (fractional coordinates):
La: 0.000 0.000 0.500
La: 0.000 0.500 0.000
La: 0.500 0.000 0.000
Cu: 0.000 0.000 0.000
Ge: 0.500 0.500 0.500

=====

# 3
Below is a relaxed structure of TcAgMo2, with properties calculated at the GGA-PBE level.

## Properties
N(E_F) in states/eV/cell: 2.733
Total magnetic moment in Bohr magnetons per cell: 0.0
Polymorph energy (0 for the lowest one) in eV/f.u.: 0.697
Energy of formation from the pure elements in eV/atom: 0.449
Space group: No. 10

Unit cell a=5.037 b=2.686 c=5.052 alpha=90.00 beta=112.21 gamma=90.00
Atoms (fractional coordinates):
Tc: 0.000 0.000 0.000
Ag: 0.500 0.500 0.000
Mo: 0.000 0.500 0.500
Mo: 0.500 0.000 0.500

=====

# 4
Below is a relaxed structure of Pm2DyHoEr5, with properties calculated at the GGA-PBE level.

## Properties
N(E_F) in states/eV/cell: 22.124
Total magnetic moment in Bohr magnetons per cell: 0.0
Energy of formation from the pure elements in eV/atom: 0.277
Space group: No. 140

Unit cell a=9.852 b=9.852 c=9.852 alpha=128.39 beta=128.39 gamma=75.99
Atoms (fractional coordinates):
Pm: 0.117 0.617 0.734
Pm: 0.383 0.117 0.500
Pm: 0.617 0.883 0.500
Pm: 0.883 0.383 0.266
Dy: 0.250 0.250 0.000
Dy: 0.750 0.750 0.000
Ho: 0.250 0.750 0.500
Ho: 0.750 0.250 0.500
Er: 0.000 0.000 0.000
Er: 0.072 0.148 0.500
Er: 0.148 0.648 0.076
Er: 0.352 0.428 0.500
Er: 0.428 0.928 0.076
Er: 0.500 0.500 0.000
Er: 0.572 0.072 0.924
Er: 0.648 0.572 0.500
Er: 0.852 0.352 0.924
Er: 0.928 0.852 0.500

=====

# 5
Below is a relaxed structure of Re2SeBr, with properties calculated at the GGA-PBE level.

## Properties
N(E_F) in states/eV/cell: 3.518
Total magnetic moment in Bohr magnetons per cell: 0.0
Formation energy (no corrections) in meV/atom: 930
Polymorph energy (0 for the lowest one) in eV/f.u.: 2.978
Space group: No. 12

Unit cell a=4.500 b=4.500 c=5.624 alpha=104.61 beta=104.61 gamma=40.06
Atoms (fractional coordinates):
Re: 0.250 0.250 0.190
Re: 0.750 0.750 0.810
Se: 0.500 0.500 0.000
Br: 0.000 0.000 0.500

=====

# 6
Below is a relaxed structure of BaSr2Ca2, with properties calculated at the GGA-PBE level.

## Properties
N(E_F) in states/eV/cell: 2.483
Total magnetic moment in Bohr magnetons per cell: 0.0
Polymorph energy (0 for the lowest one) in eV/f.u.: 0.559
Energy of formation from the pure elements in eV/atom: 0.195
Space group: No. 139

Unit cell a=10.781 b=10.781 c=10.781 alpha=152.07 beta=152.07 gamma=39.90
Atoms (fractional coordinates):
Ba: 0.000 0.000 0.000
Sr: 0.399 0.399 0.000
Sr: 0.601 0.601 0.000
Ca: 0.250 0.750 0.500
Ca: 0.750 0.250 0.500

=====

# 7
Below is a relaxed structure of ZnCdHPd2, with properties calculated at the GGA-PBE level.

## Properties
N(E_F) in states/eV/cell: 0.802
Total magnetic moment in Bohr magnetons per cell: 0.0
Polymorph energy (0 for the lowest one) in eV/f.u.: 0.000
Space group: No. 123

Unit cell a=4.075 b=4.075 c=4.024 alpha=90.00 beta=90.00 gamma=90.00
Atoms (fractional coordinates):
Zn: 0.000 0.000 0.000
Cd: 0.500 0.500 0.000
H: 0.000 0.000 0.500
Pd: 0.000 0.500 0.500
Pd: 0.500 0.000 0.500

=====

# 8
Below is a relaxed structure of HfSb2TeMo, with properties calculated at the GGA-PBE level.

## Properties
N(E_F) in states/eV/cell: 6.524
Total magnetic moment in Bohr magnetons per cell: 0.4
Formation energy (no corrections) in meV/atom: 854
Polymorph energy (0 for the lowest one) in eV/f.u.: 0.000
Space group: No. 123

Unit cell a=5.126 b=5.126 c=5.460 alpha=90.00 beta=90.00 gamma=90.00
Atoms (fractional coordinates):
Hf: 0.000 0.000 0.000
Sb: 0.000 0.500 0.500
Sb: 0.500 0.000 0.500
Te: 0.500 0.500 0.000
Mo: 0.500 0.500 0.500

=====

# 9
Below is a relaxed structure of Ba2NaF, with properties calculated at the GGA-PBE level.

## Properties
N(E_F) in states/eV/cell: 1.483
Total magnetic moment in Bohr magnetons per cell: 0.0
Formation energy (no corrections) in meV/atom: -740
Polymorph energy (0 for the lowest one) in eV/f.u.: 2.260
Space group: No. 225

Unit cell a=6.083 b=6.083 c=6.083 alpha=60.00 beta=60.00 gamma=60.00
Atoms (fractional coordinates):
Ba: 0.250 0.250 0.250
Ba: 0.750 0.750 0.750
Na: 0.000 0.000 0.000
F: 0.500 0.500 0.500

=====

# 10
Below is a relaxed structure of AcMg2Cd2Sn2, with properties calculated at the GGA-PBE level.

## Properties
N(E_F) in states/eV/cell: 2.603
Total magnetic moment in Bohr magnetons per cell: 0.0
Energy of formation from the pure elements in eV/atom: -0.286
Space group: No. 166

Unit cell a=8.965 b=8.965 c=8.965 alpha=32.55 beta=32.55 gamma=32.55
Atoms (fractional coordinates):
Ac: 0.000 0.000 0.000
Mg: 0.140 0.140 0.140
Mg: 0.860 0.860 0.860
Cd: 0.441 0.441 0.441
Cd: 0.559 0.559 0.559
Sn: 0.257 0.257 0.257
Sn: 0.743 0.743 0.743

=====

# 11
Below is a relaxed structure of YHfMgAl, with properties calculated at the GGA-PBE level.

## Properties
N(E_F) in states/eV/cell: 3.051
Total magnetic moment in Bohr magnetons per cell: 0.0
Energy of formation from the pure elements in eV/atom: -0.124
Space group: No. 216

Unit cell a=4.998 b=4.998 c=4.998 alpha=60.00 beta=60.00 gamma=60.00
Atoms (fractional coordinates):
Y: 0.000 0.000 0.000
Hf: 0.500 0.500 0.500
Mg: 0.250 0.250 0.250
Al: 0.750 0.750 0.750

=====

# 12
Below is a relaxed structure of CdCo2Si, with properties calculated at the GGA-PBE level.

## Properties
N(E_F) in states/eV/cell: 2.882
Total magnetic moment in Bohr magnetons per cell: 0.4
Formation energy (no corrections) in meV/atom: 81
Polymorph energy (0 for the lowest one) in eV/f.u.: 1.166
Space group: No. 225

Unit cell a=4.174 b=4.174 c=4.174 alpha=60.00 beta=60.00 gamma=60.00
Atoms (fractional coordinates):
Cd: 0.000 0.000 0.000
Co: 0.250 0.250 0.250
Co: 0.750 0.750 0.750
Si: 0.500 0.500 0.500

=====

# 13
Below is a relaxed structure of LiPu2Al4Au3, with properties calculated at the GGA-PBE level.

## Properties
N(E_F) in states/eV/cell: 28.462
Total magnetic moment in Bohr magnetons per cell: 11.4
Energy of formation from the pure elements in eV/atom: -0.418
Space group: No. 115

Unit cell a=4.261 b=4.261 c=11.051 alpha=90.00 beta=90.00 gamma=90.00
Atoms (fractional coordinates):
Li: 0.000 0.000 0.000
Pu: 0.000 0.500 0.749
Pu: 0.500 0.000 0.251
Al: 0.000 0.000 0.500
Al: 0.000 0.500 0.136
Al: 0.500 0.000 0.864
Al: 0.500 0.500 0.500
Au: 0.000 0.500 0.365
Au: 0.500 0.000 0.635
Au: 0.500 0.500 0.000

=====

# 14
Below is a relaxed structure of ThSi2Tc2Ge, with properties calculated at the GGA-PBE level.

## Properties
N(E_F) in states/eV/cell: 4.445
Total magnetic moment in Bohr magnetons per cell: 0.0
Formation energy (no corrections) in meV/atom: -44
Space group: No. 123

Unit cell a=4.537 b=4.537 c=5.550 alpha=90.00 beta=90.00 gamma=90.00
Atoms (fractional coordinates):
Th: 0.000 0.000 0.000
Si: 0.500 0.500 0.232
Si: 0.500 0.500 0.768
Tc: 0.000 0.500 0.500
Tc: 0.500 0.000 0.500
Ge: 0.000 0.000 0.500

=====

# 15
Below is a relaxed structure of Ta5Nb2V, with properties calculated at the GGA-PBE level.

## Properties
N(E_F) in states/eV/cell: 28.915
Total magnetic moment in Bohr magnetons per cell: 0.0
Energy of formation from the pure elements in eV/atom: 0.021
Space group: No. 55

Unit cell a=6.582 b=13.122 c=3.288 alpha=90.00 beta=90.00 gamma=90.00
Atoms (fractional coordinates):
Ta: 0.000 0.000 0.000
Ta: 0.004 0.249 0.000
Ta: 0.240 0.621 0.500
Ta: 0.260 0.121 0.500
Ta: 0.496 0.749 0.000
Ta: 0.500 0.500 0.000
Ta: 0.504 0.251 0.000
Ta: 0.740 0.879 0.500
Ta: 0.760 0.379 0.500
Ta: 0.996 0.751 0.000
Nb: 0.245 0.378 0.500
Nb: 0.255 0.878 0.500
Nb: 0.745 0.122 0.500
Nb: 0.755 0.622 0.500
V: 0.000 0.500 0.000
V: 0.500 0.000 0.000

=====

# 16
Below is a relaxed structure of YMgMn, with properties calculated at the GGA-PBE level.

## Properties
N(E_F) in states/eV/cell: 3.695
Total magnetic moment in Bohr magnetons per cell: 3.2
Energy of formation from the pure elements in eV/atom: 0.203
Space group: No. 187

Unit cell a=4.839 b=4.839 c=3.444 alpha=90.00 beta=90.00 gamma=120.00
Atoms (fractional coordinates):
Y: 0.000 0.000 0.000
Mg: 0.667 0.333 0.500
Mn: 0.333 0.667 0.500

=====

# 17
Below is a relaxed structure of SiPbSe3, with properties calculated at the GGA-PBE level.

## Properties
N(E_F) in states/eV/cell: 8.551
Total magnetic moment in Bohr magnetons per cell: 0.0
Formation energy (no corrections) in meV/atom: -341
Polymorph energy (0 for the lowest one) in eV/f.u.: 0.680
Space group: No. 14

Unit cell a=6.955 b=7.603 c=12.000 alpha=90.00 beta=121.31 gamma=90.00
Atoms (fractional coordinates):
Si: 0.140 0.121 0.064
Si: 0.140 0.379 0.564
Si: 0.860 0.621 0.436
Si: 0.860 0.879 0.936
Pb: 0.191 0.625 0.243
Pb: 0.191 0.875 0.743
Pb: 0.809 0.125 0.257
Pb: 0.809 0.375 0.757
Se: 0.104 0.675 0.944
Se: 0.104 0.825 0.444
Se: 0.273 0.198 0.934
Se: 0.273 0.302 0.434
Se: 0.385 0.006 0.262
Se: 0.385 0.494 0.762
Se: 0.615 0.506 0.238
Se: 0.615 0.994 0.738
Se: 0.727 0.698 0.566
Se: 0.727 0.802 0.066
Se: 0.896 0.175 0.556
Se: 0.896 0.325 0.056

=====

# 18
Below is a relaxed structure of Sm3YHo6Sc2, with properties calculated at the GGA-PBE level.

## Properties
N(E_F) in states/eV/cell: 17.494
Total magnetic moment in Bohr magnetons per cell: 0.0
Energy of formation from the pure elements in eV/atom: 0.038
Space group: No. 12

Unit cell a=6.091 b=6.091 c=11.611 alpha=95.01 beta=95.01 gamma=119.97
Atoms (fractional coordinates):
Sm: 0.000 0.000 0.000
Sm: 0.333 0.667 0.000
Sm: 0.667 0.333 0.000
Y: 0.500 0.500 0.500
Ho: 0.082 0.419 0.257
Ho: 0.245 0.245 0.743
Ho: 0.419 0.082 0.257
Ho: 0.581 0.918 0.743
Ho: 0.755 0.755 0.257
Ho: 0.918 0.581 0.743
Sc: 0.167 0.833 0.500
Sc: 0.833 0.167 0.500

=====

# 19
Below is a relaxed structure of Al3AsRu, with properties calculated at the GGA-PBE level.

## Properties
N(E_F) in states/eV/cell: 2.556
Total magnetic moment in Bohr magnetons per cell: 1.6
Polymorph energy (0 for the lowest one) in eV/f.u.: 4.233
Energy of formation from the pure elements in eV/atom: 1.058
Space group: No. 221

Unit cell a=4.720 b=4.720 c=4.720 alpha=90.00 beta=90.00 gamma=90.00
Atoms (fractional coordinates):
Al: 0.000 0.000 0.500
Al: 0.000 0.500 0.000
Al: 0.500 0.000 0.000
As: 0.000 0.000 0.000
Ru: 0.500 0.500 0.500

=====

# 20
Below is a relaxed structure of Sm4Sb2H, with properties calculated at the GGA-PBE level.

## Properties
N(E_F) in states/eV/cell: 11.720
Total magnetic moment in Bohr magnetons per cell: 0.0
Polymorph energy (0 for the lowest one) in eV/f.u.: 0.234
Space group: No. 11

Unit cell a=6.725 b=6.461 c=8.982 alpha=90.00 beta=107.90 gamma=90.00
Atoms (fractional coordinates):
Sm: 0.020 0.003 0.291
Sm: 0.020 0.497 0.291
Sm: 0.363 0.750 0.065
Sm: 0.432 0.750 0.642
Sm: 0.568 0.250 0.358
Sm: 0.637 0.250 0.935
Sm: 0.980 0.503 0.709
Sm: 0.980 0.997 0.709
Sb: 0.207 0.250 0.036
Sb: 0.317 0.250 0.595
Sb: 0.683 0.750 0.405
Sb: 0.793 0.750 0.964
H: 0.227 0.750 0.802
H: 0.773 0.250 0.198